PBE Li3SeO3, optimized geometry; volume = 12.4 A^3/atom; DOS at the Fermi energy = 0.28 states/eV/atom; symmetry = Cmcm (63); E = -4.780 eV per atom; size of the total moment = 0.1090 μB/atom
1.0
3.5125 -6.0951 0.0000
3.5125 6.0951 0.0000
0.0000 0.0000 4.0432
Li Se O
6 2 6
direct
0.1534 0.3059 0.7500
0.1526 0.8474 0.7500
0.3059 0.1534 0.2500
0.6941 0.8466 0.7500
0.8474 0.1526 0.2500
0.8466 0.6941 0.2500
0.3330 0.6670 0.2500
0.6670 0.3330 0.7500
0.1755 0.8245 0.2500
0.1770 0.3525 0.2500
0.3525 0.1770 0.7500
0.6475 0.8230 0.2500
0.8230 0.6475 0.7500
0.8245 0.1755 0.7500


PBE Sc2Ga2Ni, optimized geometry; volume = 17.4 A^3/atom; DOS at the Fermi energy = 0.54 states/eV/atom; symmetry = Amm2 (38); E = -5.502 eV per atom; size of the total moment = 0.0000 μB/atom; energy relative to the elements = -291 kJ/mol of formula units
1.0
3.2633 0.0000 0.0000
0.0000 2.0834 6.4162
0.0000 -2.0834 6.4162
Sc Ga Ni
2 2 1
direct
0.0000 0.0000 0.0000
0.0000 0.2511 0.2511
0.5000 0.6176 0.6176
0.5000 0.8233 0.8233
0.5000 0.4230 0.4230


PBE Ca2VCu2, optimized geometry; volume = 22.7 A^3/atom; DOS at the Fermi energy = 0.92 states/eV/atom; symmetry = I4/mmm (139); E = -3.845 eV per atom; E above lowest polymorph = 0.199 eV per atom; size of the total moment = 0.8324 μB/atom; energy relative to the elements = 201 kJ/mol of formula units
1.0
-1.7559 1.7559 9.2170
1.7559 -1.7559 9.2170
1.7559 1.7559 -9.2170
Ca V Cu
2 1 2
direct
0.1162 0.1162 0.0000
0.8838 0.8838 0.0000
0.5000 0.5000 0.0000
0.2500 0.7500 0.5000
0.7500 0.2500 0.5000


PBE ZnHg3Pb, optimized geometry; volume = 28.4 A^3/atom; DOS at the Fermi energy = 0.64 states/eV/atom; symmetry = Pm-3m (221); E = -0.976 eV per atom; E above lowest polymorph = 0.131 eV per atom; size of the total moment = 0.0000 μB/atom; energy relative to the elements = 97 kJ/mol of formula units
1.0
5.2142 0.0000 0.0000
0.0000 5.2142 0.0000
0.0000 0.0000 5.2142
Zn Hg Pb
1 3 1
direct
0.0000 0.0000 0.0000
0.0000 0.0000 0.5000
0.0000 0.5000 0.0000
0.5000 0.0000 0.0000
0.5000 0.5000 0.5000


PBE Bi3HAu, optimized geometry; volume = 23.3 A^3/atom; DOS at the Fermi energy = 0.49 states/eV/atom; symmetry = Pm-3m (221); E = -3.273 eV per atom; E above lowest polymorph = 0.000 eV per atom; size of the total moment = 0.0000 μB/atom
1.0
4.8866 0.0000 0.0000
0.0000 4.8866 0.0000
0.0000 0.0000 4.8866
Bi H Au
3 1 1
direct
0.0000 0.0000 0.5000
0.0000 0.5000 0.0000
0.5000 0.0000 0.0000
0.0000 0.0000 0.0000
0.5000 0.5000 0.5000


PBE Pr5Hg2Pb2, optimized geometry; volume = 32.4 A^3/atom; DOS at the Fermi energy = 1.06 states/eV/atom; symmetry = Cmce (64); E = -3.993 eV per atom; size of the total moment = 0.0000 μB/atom; energy relative to the elements = -388 kJ/mol of formula units
1.0
8.2942 -4.2146 0.0000
8.2942 4.2146 0.0000
0.0000 0.0000 8.3300
Pr Hg Pb
10 4 4
direct
0.0000 0.0000 0.0000
0.0333 0.6894 0.6667
0.1894 0.5333 0.1667
0.3106 0.9667 0.6667
0.4667 0.8106 0.1667
0.5000 0.5000 0.5000
0.5333 0.1894 0.8333
0.6894 0.0333 0.3333
0.8106 0.4667 0.8333
0.9667 0.3106 0.3333
0.1290 0.8710 0.3696
0.3710 0.6290 0.8696
0.6290 0.3710 0.1304
0.8710 0.1290 0.6304
0.2057 0.2057 0.0000
0.2943 0.2943 0.5000
0.7057 0.7057 0.5000
0.7943 0.7943 0.0000


PBE KMoPPt2, optimized geometry; volume = 28.4 A^3/atom; DOS at the Fermi energy = 0.98 states/eV/atom; symmetry = P4/mmm (123); E = -4.427 eV per atom; size of the total moment = 0.5658 μB/atom; energy relative to the elements = 703 kJ/mol of formula units
1.0
4.8067 0.0000 0.0000
0.0000 4.8067 0.0000
0.0000 0.0000 6.1559
K Mo P Pt
1 1 1 2
direct
0.0000 0.0000 0.0000
0.0000 0.0000 0.5000
0.5000 0.5000 0.0000
0.0000 0.5000 0.5000
0.5000 0.0000 0.5000


PBE Si2NiPRh, optimized geometry; volume = 16.0 A^3/atom; DOS at the Fermi energy = 0.41 states/eV/atom; symmetry = P4/mmm (123); E = -5.236 eV per atom; E above lowest polymorph = 0.000 eV per atom; size of the total moment = 0.0000 μB/atom
1.0
4.4455 0.0000 0.0000
0.0000 4.4455 0.0000
0.0000 0.0000 4.0479
Si Ni P Rh
2 1 1 1
direct
0.0000 0.5000 0.0000
0.5000 0.0000 0.0000
0.0000 0.0000 0.5000
0.0000 0.0000 0.0000
0.5000 0.5000 0.5000


PBE TiAlZn, optimized geometry; volume = 15.7 A^3/atom; DOS at the Fermi energy = 0.63 states/eV/atom; symmetry = P-6m2 (187); E = -4.612 eV per atom; size of the total moment = 0.0000 μB/atom; energy relative to the elements = -89 kJ/mol of formula units
1.0
4.2795 0.0000 0.0000
-2.1397 3.7062 0.0000
0.0000 0.0000 2.9644
Ti Al Zn
1 1 1
direct
0.0000 0.0000 0.0000
0.3333 0.6667 0.5000
0.6667 0.3333 0.5000


PBE ZnCo3Si, optimized geometry; volume = 15.7 A^3/atom; DOS at the Fermi energy = 1.51 states/eV/atom; symmetry = Pm-3m (221); E = -4.369 eV per atom; E above lowest polymorph = 0.719 eV per atom; size of the total moment = 0.8382 μB/atom
1.0
4.2784 0.0000 0.0000
0.0000 4.2784 0.0000
0.0000 0.0000 4.2784
Zn Co Si
1 3 1
direct
0.0000 0.0000 0.0000
0.0000 0.0000 0.5000
0.0000 0.5000 0.0000
0.5000 0.0000 0.0000
0.5000 0.5000 0.5000


PBE NbNiSe3, optimized geometry; volume = 23.0 A^3/atom; DOS at the Fermi energy = 0.65 states/eV/atom; symmetry = P2_1/m (11); E = -5.835 eV per atom; E above lowest polymorph = 0.000 eV per atom; size of the total moment = 0.0000 μB/atom
1.0
6.1702 0.0000 0.0000
0.0000 3.4921 0.0000
-1.6895 0.0000 10.6795
Nb Ni Se
2 2 6
direct
0.0006 0.2500 0.1924
0.9994 0.7500 0.8076
0.3160 0.2500 0.7425
0.6840 0.7500 0.2575
0.1712 0.7500 0.6143
0.2263 0.2500 0.9504
0.3060 0.7500 0.2623
0.6940 0.2500 0.7377
0.7737 0.7500 0.0496
0.8288 0.2500 0.3857


PBE Cs2SbNO, optimized geometry; volume = 34.5 A^3/atom; DOS at the Fermi energy = 0.65 states/eV/atom; symmetry = P4/mmm (123); E = -3.600 eV per atom; size of the total moment = 0.3947 μB/atom
1.0
6.3130 0.0000 0.0000
0.0000 6.3130 0.0000
0.0000 0.0000 4.3319
Cs Sb N O
2 1 1 1
direct
0.0000 0.5000 0.0000
0.5000 0.0000 0.0000
0.0000 0.0000 0.5000
0.5000 0.5000 0.5000
0.0000 0.0000 0.0000


PBE Cs2HgCF6, optimized geometry; volume = 16.9 A^3/atom; DOS at the Fermi energy = 0.00 states/eV/atom; symmetry = Fm-3m (225); E = -3.630 eV per atom; size of the total moment = 0.0000 μB/atom
1.0
0.0000 4.3860 4.3860
4.3860 0.0000 4.3860
4.3860 4.3860 0.0000
Cs Hg C F
2 1 1 6
direct
0.2500 0.2500 0.2500
0.7500 0.7500 0.7500
0.0000 0.0000 0.0000
0.5000 0.5000 0.5000
0.2726 0.2726 0.7274
0.2726 0.7274 0.2726
0.2726 0.7274 0.7274
0.7274 0.2726 0.2726
0.7274 0.2726 0.7274
0.7274 0.7274 0.2726


PBE YVCI2, optimized geometry; volume = 23.7 A^3/atom; DOS at the Fermi energy = 0.78 states/eV/atom; symmetry = P4/mmm (123); E = -5.244 eV per atom; size of the total moment = 0.1592 μB/atom
1.0
5.5734 0.0000 0.0000
0.0000 5.5734 0.0000
0.0000 0.0000 3.8185
Y V C I
1 1 1 2
direct
0.0000 0.0000 0.0000
0.5000 0.5000 0.5000
0.5000 0.5000 0.0000
0.0000 0.5000 0.5000
0.5000 0.0000 0.5000


PBE KCuHg2As, optimized geometry; volume = 27.1 A^3/atom; DOS at the Fermi energy = 0.92 states/eV/atom; symmetry = P4/mmm (123); E = -2.096 eV per atom; size of the total moment = 0.0588 μB/atom; energy relative to the elements = -3 kJ/mol of formula units
1.0
5.2929 0.0000 0.0000
0.0000 5.2929 0.0000
0.0000 0.0000 4.8295
K Cu Hg As
1 1 2 1
direct
0.0000 0.0000 0.0000
0.5000 0.5000 0.5000
0.0000 0.5000 0.5000
0.5000 0.0000 0.5000
0.5000 0.5000 0.0000